# TeMo2BrF (GGA+U, relaxed)
data_TeMo2BrF
_chemical_formula_sum 'Te1 Mo2 Br1 F1'
_space_group_name_H-M_alt 'P 4/m m m'
_space_group_IT_number 123
_space_group_name_Hall '-P 4 2'
_cell_length_a 5.323
_cell_length_b 5.323
_cell_length_c 4.595
_cell_angle_alpha 90.00
_cell_angle_beta 90.00
_cell_angle_gamma 90.00
loop_
_atom_site_label
_atom_site_type_symbol
_atom_site_fract_x
_atom_site_fract_y
_atom_site_fract_z
_atom_site_occupancy
Te1 Te 0.000 0.000 0.000 1
Mo1 Mo 0.000 0.500 0.500 1
Br1 Br 0.500 0.500 0.000 1
F1 F 0.000 0.000 0.500 1
# Energy = -3.7651 eV/atom
# Crystal system = tetragonal